# 1
The following is a GGA-PBE calculation of crystalline KTiIn at its relaxed geometry, from Alexandria via LeMat-Bulk.

a b c (Å): 8.9918 4.5180 8.7095
angles (deg): 90.00 90.00 90.00
Last column: nearest neighbours and their distance in Å.
Fractional positions:
Ti: 0.5903 0.2500 0.0459  3 In 2.82-3.03, 2 Ti 2.90
Ti: 0.9097 0.7500 0.5459  3 In 2.82-3.03, 2 Ti 2.90
Ti: 0.0903 0.2500 0.4541  3 In 2.82-3.03, 2 Ti 2.90
Ti: 0.4097 0.7500 0.9541  3 In 2.82-3.03, 2 Ti 2.90
In: 0.7944 0.2500 0.3465  3 Ti 2.82-3.03
In: 0.2055 0.7500 0.6535  3 Ti 2.82-3.03
In: 0.2944 0.2500 0.1535  3 Ti 2.82-3.03
In: 0.7056 0.7500 0.8465  3 Ti 2.82-3.03
K: 0.4962 0.7500 0.3580  2 K 3.35, 5 In 3.40-3.67, 3 Ti 3.60-3.63
K: 0.5038 0.2500 0.6420  2 K 3.35, 5 In 3.40-3.67, 3 Ti 3.60-3.63
K: 0.9962 0.7500 0.1420  2 K 3.35, 5 In 3.40-3.67, 3 Ti 3.60-3.63
K: 0.0038 0.2500 0.8580  2 K 3.35, 5 In 3.40-3.67, 3 Ti 3.60-3.63

Values from the calculation:
Crystal system ... orthorhombic
ΔE_f ... 0.402 eV per atom
ΔE to the lowest computed polymorph ... 361.7 meV/atom
Total magnetic moment ... 1.01 μB/f.u.
DOS(E_F) ... 1.08 states/eV/atom

# 2
The following is a GGA-PBE calculation of crystalline VCd2OsRu at its relaxed geometry, from Alexandria via LeMat-Bulk.

a b c (Å): 5.0219 4.6232 5.0219
angles (deg): 90.00 90.00 90.00
Last column: nearest neighbours and their distance in Å.
Fractional positions:
Cd: 0.0000 0.0000 0.5000  2 Ru 2.51
Cd: 0.5000 0.0000 0.0000  2 Ru 2.51
Os: 0.0000 0.5000 0.0000  2 Ru 2.31
V: 0.5000 0.5000 0.5000  8 Cd 3.41, 4 Os 3.55
Ru: 0.0000 0.0000 0.0000  2 Os 2.31, 4 Cd 2.51

Values from the calculation:
Crystal system ... tetragonal
ΔE_f ... 1.654 eV per atom
Total magnetic moment ... 0.42 μB/f.u.
DOS(E_F) ... 2.12 states/eV/atom

# 3
The following is a GGA-PBE calculation of crystalline KZnRe3 at its relaxed geometry, from Alexandria via LeMat-Bulk.

a b c (Å): 4.6825 4.6825 4.6825
angles (deg): 90.00 90.00 90.00
Last column: nearest neighbours and their distance in Å.
Fractional positions:
Re: 0.5000 0.0000 0.0000  2 Zn 2.34
Re: 0.0000 0.0000 0.5000  2 Zn 2.34
Re: 0.0000 0.5000 0.0000  2 Zn 2.34
K: 0.5000 0.5000 0.5000  12 Re 3.31
Zn: 0.0000 0.0000 0.0000  6 Re 2.34

Values from the calculation:
Crystal system ... cubic
ΔE_f ... 2.467 eV per atom
ΔE to the lowest computed polymorph ... 0.0 meV/atom
Total magnetic moment ... 0.00 μB/f.u.
DOS(E_F) ... 1.56 states/eV/atom

# 4
The following is a GGA-PBE calculation of crystalline PrDy2Y2 at its relaxed geometry, from Alexandria via LeMat-Bulk.

a b c (Å): 9.4348 9.4348 3.7587
angles (deg): 90.00 90.00 90.00
Last column: nearest neighbours and their distance in Å.
Fractional positions:
Pr: 0.5000 0.5000 0.0000  4 Dy 3.73, 2 Pr 3.76, 8 Y 3.97
Pr: 0.0000 0.0000 0.0000  4 Dy 3.73, 2 Pr 3.76, 8 Y 3.97
Y: 0.3282 0.8282 0.5000  6 Dy 3.30-3.40
Y: 0.6718 0.1718 0.5000  6 Dy 3.30-3.40
Y: 0.1718 0.3282 0.5000  6 Dy 3.30-3.40
Y: 0.8282 0.6718 0.5000  6 Dy 3.30-3.40
Dy: 0.8751 0.3751 0.0000  6 Y 3.30-3.40, 1 Dy 3.33
Dy: 0.1249 0.6249 0.0000  6 Y 3.30-3.40, 1 Dy 3.33
Dy: 0.3751 0.1249 0.0000  6 Y 3.30-3.40, 1 Dy 3.33
Dy: 0.6249 0.8751 0.0000  6 Y 3.30-3.40, 1 Dy 3.33

Values from the calculation:
Crystal system ... tetragonal
ΔE_f ... 0.081 eV per atom
ΔE to the lowest computed polymorph ... 0.0 meV/atom
Total magnetic moment ... 0.00 μB/f.u.
DOS(E_F) ... 1.10 states/eV/atom